Here is a crystal of MgZr2Cl relaxed with PBEsol from Alexandria. Energies are from SCAN.

Cell: 5.655 5.655 5.655 Å, 137.43 137.43 61.78°
Sites, in units of the cell vectors:
Mg: 0.000 0.000 0.000
Zr: 0.500 0.500 0.000
Zr: 0.750 0.250 0.500
Cl: 0.250 0.750 0.500

E above lowest polymorph: 208 meV per atom
Formation energy without anion corrections: 0.178 eV/atom
Space-group type: I-4m2, No. 119


Here is a crystal of InWNF2 relaxed with PBEsol from Alexandria. Energies are from SCAN.

Cell: 4.238 4.238 3.906 Å, 90.00 90.00 90.00°
Sites, in units of the cell vectors:
In: 0.000 0.000 0.000
W: 0.500 0.500 0.500
N: 0.500 0.500 0.000
F: 0.000 0.500 0.500
F: 0.500 0.000 0.500

Formation energy without anion corrections: -0.906 eV/atom
Space-group type: P4/mmm, No. 123